# 1
Material: NdErLuPu
Method: DFT, PBE
State: optimized geometry

Properties
Total DFT energy (no corrections): -27.418 eV per formula unit
Density of states at the Fermi level: 10.6 states/eV per cell
Theoretical density: 9.8 Mg/m³
Formation energy: 0.1914 eV per atom

The structure in POSCAR format:
```
NdErLuPu
1.0
-5.4674 1.1119 0.3590
-3.7335 -4.1251 -0.5493
-2.9202 -1.7369 4.4400
Er Lu Nd Pu
1 1 1 1
direct
0.5000 0.5000 0.5000
0.0000 0.0000 0.0000
0.2500 0.2500 0.2500
0.7500 0.7500 0.7500
```

***

# 2
Material: NdErLuTh
Method: DFT, PBE
State: optimized geometry

Properties
Total DFT energy (no corrections): -20.815 eV per formula unit
Density of states at the Fermi level: 7.8 states/eV per cell
Theoretical density: 9.3 Mg/m³
Formation energy: 0.1141 eV per atom

The structure in POSCAR format:
```
NdErLuTh
1.0
5.6625 0.0000 0.0000
2.8313 4.9039 0.0000
2.8313 1.6346 4.6234
Lu Nd Th Er
1 1 1 1
direct
0.5000 0.5000 0.5000
0.2500 0.2500 0.2500
0.7500 0.7500 0.7500
0.0000 0.0000 0.0000
```

***

# 3
Material: NdErLuTl
Method: DFT, PBE
State: optimized geometry

Properties
Total DFT energy (no corrections): -16.403 eV per formula unit
Density of states at the Fermi level: 6.3 states/eV per cell
Theoretical density: 9.8 Mg/m³
Formation energy: -0.0462 eV per atom

The structure in POSCAR format:
```
NdErLuTl
1.0
5.4824 0.0000 0.0000
2.7412 4.7479 0.0000
2.7412 1.5826 4.4764
Tl Lu Nd Er
1 1 1 1
direct
0.7500 0.7500 0.7500
0.2500 0.2500 0.2500
0.0000 0.0000 0.0000
0.5000 0.5000 0.5000
```

***

# 4
Material: NdErLuZn
Method: DFT, PBE
State: optimized geometry

Properties
Total DFT energy (no corrections): -15.038 eV per formula unit
Density of states at the Fermi level: 4.3 states/eV per cell
Theoretical density: 8.5 Mg/m³
Formation energy: 0.0219 eV per atom

The structure in POSCAR format:
```
NdErLuZn
1.0
5.3412 0.0000 0.0000
2.6706 4.6256 0.0000
2.6706 1.5419 4.3611
Zn Lu Nd Er
1 1 1 1
direct
0.0000 0.0000 0.0000
0.5000 0.5000 0.5000
0.7500 0.7500 0.7500
0.2500 0.2500 0.2500
```

***

# 5
Material: ErLuNi4
Method: DFT, PBE
State: optimized geometry

Properties
Total DFT energy (no corrections): -35.196 eV per formula unit
Density of states at the Fermi level: 3.9 states/eV per cell
Theoretical density: 10.7 Mg/m³
Formation energy: -0.4978 eV per atom

The structure in POSCAR format:
```
ErLuNi4
1.0
-4.5864 -1.0564 -1.7489
-2.6791 -3.7128 2.0610
-4.0500 1.0650 2.7701
Ni Lu Er
4 1 1
direct
0.6253 0.6253 0.1242
0.6253 0.1242 0.6253
0.6253 0.6253 0.6253
0.1242 0.6253 0.6253
0.0000 0.0000 0.0000
0.2500 0.2500 0.2500
```

***

# 6
Material: Er2LuNi
Method: DFT, PBE
State: optimized geometry

Properties
Total DFT energy (no corrections): -20.113 eV per formula unit
Density of states at the Fermi level: 6.0 states/eV per cell
Theoretical density: 9.7 Mg/m³
Formation energy: -0.1713 eV per atom

The structure in POSCAR format:
```
Er2LuNi
1.0
-1.8555 2.4763 -1.4799
-2.6762 -2.1345 -0.2162
-2.6077 2.5124 7.4737
Ni Lu Er
1 1 2
direct
0.5000 0.5000 0.0000
0.5000 0.5000 0.5000
0.0000 0.0000 0.8081
0.0000 0.0000 0.1919
```

***

# 7
Material: Er3LuNi
Method: DFT, PBE
State: optimized geometry

Properties
Total DFT energy (no corrections): -24.114 eV per formula unit
Density of states at the Fermi level: 9.1 states/eV per cell
Theoretical density: 8.5 Mg/m³
Formation energy: -0.0246 eV per atom

The structure in POSCAR format:
```
Er3LuNi
1.0
5.2433 0.0000 0.0000
0.0000 5.2433 0.0000
0.0000 0.0000 5.2433
Ni Lu Er
1 1 3
direct
0.0000 0.0000 0.0000
0.5000 0.5000 0.5000
0.0000 0.5000 0.0000
0.0000 0.0000 0.5000
0.5000 0.0000 0.0000
```

***

# 8
Material: ErLuNi2
Method: DFT, PBE
State: optimized geometry

Properties
Total DFT energy (no corrections): -22.483 eV per formula unit
Distance to the lowest polymorph of the same formula: 0.0007 eV per atom
Density of states at the Fermi level: 2.4 states/eV per cell
Theoretical density: 10.4 Mg/m³
Formation energy: -0.4591 eV per atom

The structure in POSCAR format:
```
ErLuNi2
1.0
-1.3456 2.1955 -2.0341
-0.8074 -3.4199 -3.1572
-4.2322 -0.7941 1.9424
Ni Lu Er
2 1 1
direct
0.0000 0.0000 0.5000
0.0000 0.5000 0.0000
0.5000 0.0000 0.0000
0.5000 0.5000 0.5000
```

***

# 9
Material: ErLuNi2
Method: DFT, PBE
State: optimized geometry

Properties
Total DFT energy (no corrections): -22.486 eV per formula unit
Distance to the lowest polymorph of the same formula: 0.0000 eV per atom
Density of states at the Fermi level: 3.3 states/eV per cell
Theoretical density: 10.4 Mg/m³
Formation energy: -0.4598 eV per atom

The structure in POSCAR format:
```
ErLuNi2
1.0
4.7015 0.0000 0.0000
2.3507 4.0716 0.0000
2.3507 1.3572 3.8388
Ni Lu Er
2 1 1
direct
0.2500 0.2500 0.2500
0.7500 0.7500 0.7500
0.5000 0.5000 0.5000
0.0000 0.0000 0.0000
```

***

# 10
Material: ErLuNiOs
Method: DFT, PBE
State: optimized geometry

Properties
Total DFT energy (no corrections): -27.643 eV per formula unit
Density of states at the Fermi level: 1.6 states/eV per cell
Theoretical density: 13.1 Mg/m³
Formation energy: -0.3870 eV per atom

The structure in POSCAR format:
```
ErLuNiOs
1.0
4.7271 0.0000 0.0000
2.3636 4.0938 0.0000
2.3636 1.3646 3.8597
Ni Lu Os Er
1 1 1 1
direct
0.7500 0.7500 0.7500
0.0000 0.0000 0.0000
0.2500 0.2500 0.2500
0.5000 0.5000 0.5000
```

***

# 11
Material: ErLuNiPb
Method: DFT, PBE
State: optimized geometry

Properties
Total DFT energy (no corrections): -19.778 eV per formula unit
Density of states at the Fermi level: 1.4 states/eV per cell
Theoretical density: 10.9 Mg/m³
Formation energy: -0.3011 eV per atom

The structure in POSCAR format:
```
ErLuNiPb
1.0
-2.1726 4.5886 -0.1640
-4.1579 0.7420 -2.8220
-4.4910 0.7654 2.2466
Pb Ni Lu Er
1 1 1 1
direct
0.7500 0.7500 0.7500
0.2500 0.2500 0.2500
0.5000 0.5000 0.5000
0.0000 0.0000 0.0000
```

***

# 12
Material: ErLuNiPd
Method: DFT, PBE
State: optimized geometry

Properties
Total DFT energy (no corrections): -22.810 eV per formula unit
Density of states at the Fermi level: 2.6 states/eV per cell
Theoretical density: 10.7 Mg/m³
Formation energy: -0.6880 eV per atom

The structure in POSCAR format:
```
ErLuNiPd
1.0
-1.8002 1.2863 -4.2721
0.9845 -2.6204 -3.9128
-3.4520 -2.6494 -2.0520
Ni Lu Pd Er
1 1 1 1
direct
0.7500 0.7500 0.7500
0.5000 0.5000 0.5000
0.2500 0.2500 0.2500
0.0000 0.0000 0.0000
```